PBE Sc5Co4Os, optimized geometry; density of states at the Fermi level = 4.66 states/eV/cell; mass density = 6.96 Mg/m³; SG = P4/mmm; formation enthalpy at 0 K = -0.36 eV per atom
1.0
-2.790 -0.845 1.190
-0.082 -2.472 -1.948
7.246 -8.735 10.780
Sc Os Co
5 1 4
direct
0.500 0.500 0.103 Sc
0.500 0.500 0.698 Sc
0.500 0.500 0.500 Sc
0.500 0.500 0.897 Sc
0.500 0.500 0.302 Sc
0.000 0.000 0.000 Os
0.000 0.000 0.206 Co
0.000 0.000 0.598 Co
0.000 0.000 0.794 Co
0.000 0.000 0.402 Co